Density functional theory data (PBE) for a relaxed V3SnRu4 crystal.

The structure belongs to space group Pmmm (No. 47); the cell edges are 3.142, 4.297 and 8.584 Å and the angles 90.00°, 90.00° and 90.00°. The inequivalent atoms are V at (0.000, 0.000, 0.000), V at (0.000, 0.500, 0.237), Sn at (0.000, 0.000, 0.500), Ru at (0.500, 0.000, 0.238), Ru at (0.500, 0.500, 0.000) and Ru at (0.500, 0.500, 0.500).

The magnetic moment is 1.77 μB/f.u. As for the mass density: 9.683 g/cm³. The formation energy is -187 meV per atom. For the total DFT energy (no corrections), the calculation gives -8.745 eV per atom.